[1]
Here is Pa2ZnOs2 after structural relaxation from Alexandria via LeMat-Bulk. Energies are from PBE.

The structure in POSCAR format:
```
Pa2ZnOs2
1.0
4.441 0.000 0.000
0.000 5.849 0.000
0.000 0.000 7.610
Pa Zn Os
4 2 4
direct
0.000 0.000 0.187 Pa
0.000 0.000 0.813 Pa
0.500 0.500 0.313 Pa
0.500 0.500 0.687 Pa
0.000 0.500 0.000 Zn
0.500 0.000 0.500 Zn
0.000 0.249 0.500 Os
0.000 0.751 0.500 Os
0.500 0.251 0.000 Os
0.500 0.749 0.000 Os
```

Values from the calculation:
* V: 197.6 Å³/cell
* symmetry: Immm (71)
* calculated formation energy: -0.38 eV/atom
* D(E_F): 4.230 states/eV/f.u.

---

[2]
Here is CsTa2S2 after structural relaxation from Alexandria via LeMat-Bulk. Energies are from PBE.

The structure in POSCAR format:
```
CsTa2S2
1.0
3.901 0.000 0.000
0.000 3.901 0.000
0.000 0.000 15.773
Cs Ta S
2 4 4
direct
0.000 0.000 0.000 Cs
0.500 0.500 0.500 Cs
0.000 0.500 0.250 Ta
0.000 0.500 0.750 Ta
0.500 0.000 0.250 Ta
0.500 0.000 0.750 Ta
0.000 0.000 0.357 S
0.000 0.000 0.643 S
0.500 0.500 0.143 S
0.500 0.500 0.857 S
```

Values from the calculation:
* E above lowest polymorph: 0.000 eV/atom
* V: 240.0 Å³/cell
* symmetry: I4/mmm (139)
* D(E_F): 1.122 states/eV/f.u.

---

[3]
Here is NaTl2CdH after structural relaxation from Alexandria via LeMat-Bulk. Energies are from PBE.

The structure in POSCAR format:
```
NaTl2CdH
1.0
5.154 0.000 0.000
0.000 5.154 0.000
0.000 0.000 4.350
Na Tl Cd H
1 2 1 1
direct
0.000 0.000 0.000 Na
0.000 0.500 0.500 Tl
0.500 0.000 0.500 Tl
0.500 0.500 0.000 Cd
0.000 0.000 0.500 H
```

Values from the calculation:
* E above lowest polymorph: 0.000 eV/atom
* V: 115.6 Å³/cell
* symmetry: P4/mmm (123)
* D(E_F): 1.804 states/eV/f.u.

---

Q: Which of these has the highest V?
A: CsTa2S2